This record from Alexandria via LeMat-Bulk describes Ce8C3SCl4 after structural relaxation. The functional is PBE.

density of states at the Fermi level = 92.0 states/eV per cell
ΔE_f (raw) = -1.1602 eV/atom
spin magnetization = 12.2 μB/cell

```
data_Ce8C3SCl4
_chemical_formula_sum 'Ce24 C9 S3 Cl12'
_symmetry_space_group_name_H-M 'R -3 m'
_symmetry_Int_Tables_number 166
_symmetry_space_group_name_Hall '-R 3 2"'
_cell_length_a 7.5823
_cell_length_b 7.5823
_cell_length_c 20.6727
_cell_angle_alpha 90.00
_cell_angle_beta 90.00
_cell_angle_gamma 120.00
loop_
_atom_site_label
_atom_site_fract_x
_atom_site_fract_y
_atom_site_fract_z
_atom_site_occupancy
Ce1 0.0000 0.0000 0.2322 1
Ce2 0.0188 0.5094 0.7642 1
C1 0.0000 0.5000 0.5000 1
S1 0.0000 0.0000 0.5000 1
Cl1 0.0000 0.0000 0.0000 1
Cl2 0.0000 0.5000 0.0000 1
```